Record 1
An optimized crystal structure of NaPmBi, computed with PBE-GGA.

Space group ... P3m1 (156)
Density ... 6.985 Mg/m³
Energy above the most stable polymorph in this dataset ... 78 meV per atom
Calculated formation energy ... -311 meV/atom
DOS(E_F) ... 1.5 states/eV/f.u.

a = 5.135 Å, b = 5.135 Å, c = 3.925 Å
α = 90.00°, β = 90.00°, γ = 120.00°
Positions (direct):
Na1 0.000 0.000 0.000
Pm1 0.667 0.333 0.518
Bi1 0.333 0.667 0.044

Record 2
An optimized crystal structure of MgFe2Ru, computed with PBE-GGA.

Space group ... Cmmm (65)
Density ... 7.238 Mg/m³
Calculated formation energy ... 204 meV/atom
DOS(E_F) ... 3.5 states/eV/f.u.

a = 4.696 Å, b = 4.696 Å, c = 2.656 Å
α = 90.00°, β = 90.00°, γ = 111.77°
Positions (direct):
Mg1 0.000 0.000 0.000
Fe1 0.000 0.500 0.500
Fe2 0.500 0.000 0.500
Ru1 0.500 0.500 0.000

Record 3
An optimized crystal structure of MgNO2F, computed with PBE-GGA.

Space group ... P4/mmm (123)
Density ... 2.701 Mg/m³
DOS(E_F) ... 1.9 states/eV/f.u.
Raw formation energy ... 0.95 eV per atom

a = 3.986 Å, b = 3.986 Å, c = 3.456 Å
α = 90.00°, β = 90.00°, γ = 90.00°
Positions (direct):
Mg1 0.000 0.000 0.000
N1 0.500 0.500 0.000
O1 0.000 0.500 0.500
O2 0.500 0.000 0.500
F1 0.500 0.500 0.500

Record 4
An optimized crystal structure of PrErNiHg, computed with PBE-GGA.

Space group ... F-43m (216)
Density ... 9.829 Mg/m³
Calculated formation energy ... -296 meV/atom
DOS(E_F) ... 3.6 states/eV/f.u.

a = 5.137 Å, b = 5.137 Å, c = 5.137 Å
α = 60.00°, β = 60.00°, γ = 60.00°
Positions (direct):
Pr1 0.000 0.000 0.000
Er1 0.500 0.500 0.500
Ni1 0.250 0.250 0.250
Hg1 0.750 0.750 0.750

Record 5
An optimized crystal structure of Mg3CdAg5, computed with PBE-GGA.

Space group ... P6_3/mcm (193)
Density ... 7.189 Mg/m³
Energy above the most stable polymorph in this dataset ... 0 meV per atom
Calculated formation energy ... -168 meV/atom
DOS(E_F) ... 0.7 states/eV/f.u.

a = 8.188 Å, b = 8.188 Å, c = 5.765 Å
α = 90.00°, β = 90.00°, γ = 120.00°
Positions (direct):
Mg1 0.000 0.354 0.250
Mg2 0.000 0.646 0.750
Mg3 0.354 0.000 0.250
Mg4 0.354 0.354 0.750
Mg5 0.646 0.000 0.750
Mg6 0.646 0.646 0.250
Cd1 0.000 0.000 0.000
Cd2 0.000 0.000 0.500
Ag1 0.000 0.319 0.750
Ag2 0.000 0.681 0.250
Ag3 0.319 0.000 0.750
Ag4 0.319 0.319 0.250
Ag5 0.333 0.667 0.000
Ag6 0.333 0.667 0.500
Ag7 0.667 0.333 0.000
Ag8 0.667 0.333 0.500
Ag9 0.681 0.000 0.250
Ag10 0.681 0.681 0.750